DFT (PBE-GGA) results for a geometry-optimized Ag2Sb3Te3Se2 structure.

abc: 4.4453 4.4453 30.4088
angles: 90.00 90.00 90.00
Last column: nearest neighbours and their distance in Å.
Space group I4/mmm (No. 139)
Symmetry-distinct sites (fractional):
Ag: 0.0000 0.5000 0.2500 [4 per cell]  4 Se 2.72
Sb: 0.0000 0.0000 0.0000 [2 per cell]  6 Te 3.14-3.15
Sb: 0.0000 0.0000 0.3884 [4 per cell]  1 Se 2.65
Te: 0.0000 0.0000 0.1035 [4 per cell]  5 Sb 3.15
Te: 0.0000 0.0000 0.5000 [2 per cell]  6 Sb 3.14-3.39
Se: 0.0000 0.0000 0.3013 [4 per cell]  1 Sb 2.65, 4 Ag 2.72

Properties
Total moment in μB per formula unit: 0.0
Formation energy without anion corrections in eV/atom: -0.07
N(E_F) in states/eV per cell: 9.3
DFT total energy in eV per atom: -3.52

DFT (PBE-GGA) results for a geometry-optimized Ag2SbTeSe2 structure.

abc: 12.8604 8.2157 7.1124
angles: 90.00 90.00 90.00
Last column: nearest neighbours and their distance in Å.
Space group Cmc2_1 (No. 36)
Symmetry-distinct sites (fractional):
Ag: 0.1790 0.1553 0.0000 [8 per cell]  3 Se 2.65-2.68, 1 Te 2.80
Sb: 0.0000 0.3136 0.4526 [4 per cell]  2 Se 2.62, 1 Te 2.84
Te: 0.0000 0.2995 0.8514 [4 per cell]  2 Ag 2.80, 1 Sb 2.84
Se: 0.1694 0.1512 0.3727 [8 per cell]  1 Sb 2.62, 3 Ag 2.65-2.68

Properties
Total moment in μB per formula unit: 0.0
Formation energy without anion corrections in eV/atom: -0.05
N(E_F) in states/eV per cell: 14.8
DFT total energy in eV per atom: -3.38

DFT (PBE-GGA) results for a geometry-optimized AgSb2TeSe structure.

abc: 5.4595 5.4595 5.4452
angles: 90.00 90.00 90.00
Last column: nearest neighbours and their distance in Å.
Space group P4/mmm (No. 123)
Symmetry-distinct sites (fractional):
Ag: 0.0000 0.0000 0.0000 [1 per cell]  8 Sb 3.86, 4 Te 3.86
Sb: 0.0000 0.5000 0.5000 [2 per cell]  2 Se 2.73
Te: 0.5000 0.5000 0.0000 [1 per cell]  2 Se 2.72
Se: 0.5000 0.5000 0.5000 [1 per cell]  2 Te 2.72, 4 Sb 2.73

Properties
Total moment in μB per formula unit: 0.7
Formation energy without anion corrections in eV/atom: 0.72
N(E_F) in states/eV per cell: 5.9
DFT total energy in eV per atom: -2.82
Energy above the lowest structure with this stoichiometry in eV/f.u.: 0.000

DFT (PBE-GGA) results for a geometry-optimized AgSb2TeSe structure.

abc: 5.3879 5.3879 5.3033
angles: 90.00 90.00 90.00
Last column: nearest neighbours and their distance in Å.
Space group P4/mmm (No. 123)
Symmetry-distinct sites (fractional):
Ag: 0.0000 0.0000 0.0000 [1 per cell]  2 Te 2.65, 4 Sb 2.69
Sb: 0.0000 0.5000 0.0000 [2 per cell]  2 Ag 2.69
Te: 0.0000 0.0000 0.5000 [1 per cell]  2 Ag 2.65
Se: 0.5000 0.5000 0.5000 [1 per cell]  8 Sb 3.78, 4 Te 3.81

Properties
Total moment in μB per formula unit: 0.0
Formation energy without anion corrections in eV/atom: 0.74
N(E_F) in states/eV per cell: 6.2
DFT total energy in eV per atom: -2.81
Energy above the lowest structure with this stoichiometry in eV/f.u.: 0.080

DFT (PBE-GGA) results for a geometry-optimized TlAgSb2Se4 structure.

abc: 4.2187 13.6201 15.4699
angles: 90.00 90.00 90.00
Last column: nearest neighbours and their distance in Å.
Space group Cmcm (No. 63)
Symmetry-distinct sites (fractional):
Tl: 0.0000 0.1163 0.2500 [4 per cell]  6 Se 3.17-3.47
Ag: 0.0000 0.1686 0.7500 [4 per cell]  4 Se 2.60-2.71
Sb: 0.0000 0.3671 0.0633 [8 per cell]  6 Se 2.85-3.07
Se: 0.0000 0.0000 0.0000 [4 per cell]  4 Sb 2.95
Se: 0.0000 0.2725 0.6008 [8 per cell]  1 Ag 2.71, 3 Sb 2.85-2.90
Se: 0.0000 0.4427 0.2500 [4 per cell]  2 Ag 2.60

Properties
Total moment in μB per formula unit: 0.0
Formation energy without anion corrections in eV/atom: -0.22
N(E_F) in states/eV per cell: 6.4
DFT total energy in eV per atom: -3.65

DFT (PBE-GGA) results for a geometry-optimized Tl2Ag2SbSe4 structure.

abc: 15.9876 4.1278 7.9035
angles: 90.00 112.70 90.00
Last column: nearest neighbours and their distance in Å.
Space group C2/m (No. 12)
Symmetry-distinct sites (fractional):
Tl: 0.1344 0.0000 0.0657 [4 per cell]  7 Se 3.35-3.56, 3 Ag 3.64-3.67
Ag: 0.1855 0.5000 0.4781 [4 per cell]  4 Se 2.68-2.81, 2 Ag 2.84
Sb: 0.0000 0.0000 0.5000 [2 per cell]  6 Se 2.89
Se: 0.0101 0.5000 0.2533 [4 per cell]  1 Ag 2.68, 2 Sb 2.89
Se: 0.1942 0.0000 0.7036 [4 per cell]  3 Ag 2.70-2.81, 1 Sb 2.89

Properties
Total moment in μB per formula unit: 0.0
Formation energy without anion corrections in eV/atom: -0.23
N(E_F) in states/eV per cell: 7.5
DFT total energy in eV per atom: -3.39

DFT (PBE-GGA) results for a geometry-optimized Tl3AgSb3Se8 structure.

abc: 14.0837 8.1187 8.9592
angles: 90.00 121.69 90.00
Last column: nearest neighbours and their distance in Å.
Space group C2/m (No. 12)
Symmetry-distinct sites (fractional):
Tl: 0.0000 0.0000 0.0000 [2 per cell]  6 Se 3.18-3.21
Tl: 0.2500 0.2500 0.0000 [4 per cell]  6 Se 3.19-3.21
Ag: 0.0000 0.0000 0.5000 [2 per cell]  6 Se 2.80-2.81
Sb: 0.0000 0.5000 0.5000 [2 per cell]  6 Se 2.85-2.87
Sb: 0.2500 0.2500 0.5000 [4 per cell]  6 Se 2.86-2.87
Se: 0.0120 0.2466 0.2898 [8 per cell]  1 Ag 2.81, 2 Sb 2.85-2.86
Se: 0.2329 0.0000 0.7091 [4 per cell]  1 Ag 2.80, 2 Sb 2.86
Se: 0.2390 0.5000 0.7173 [4 per cell]  3 Sb 2.87, 3 Tl 3.18-3.19

Properties
Total moment in μB per formula unit: 0.0
Formation energy without anion corrections in eV/atom: -0.21
N(E_F) in states/eV per cell: 26.9
DFT total energy in eV per atom: -3.56

DFT (PBE-GGA) results for a geometry-optimized TlAg2SbSe4 structure.

abc: 7.1300 7.1300 9.4430
angles: 90.00 90.00 90.00
Last column: nearest neighbours and their distance in Å.
Space group I-42m (No. 121)
Symmetry-distinct sites (fractional):
Tl: 0.0000 0.0000 0.0000 [2 per cell]  4 Se 3.30
Ag: 0.0000 0.5000 0.2500 [4 per cell]  4 Se 2.71
Sb: 0.0000 0.0000 0.5000 [2 per cell]  4 Se 2.54
Se: 0.2065 0.2065 0.6544 [8 per cell]  1 Sb 2.54, 2 Ag 2.71

Properties
Total moment in μB per formula unit: 0.0
Formation energy without anion corrections in eV/atom: -0.17
N(E_F) in states/eV per cell: 0.0
DFT total energy in eV per atom: -3.43

Please write out number 5 again, unchanged.
DFT (PBE-GGA) results for a geometry-optimized TlAgSb2Se4 structure.

abc: 4.2187 13.6201 15.4699
angles: 90.00 90.00 90.00
Last column: nearest neighbours and their distance in Å.
Space group Cmcm (No. 63)
Symmetry-distinct sites (fractional):
Tl: 0.0000 0.1163 0.2500 [4 per cell]  6 Se 3.17-3.47
Ag: 0.0000 0.1686 0.7500 [4 per cell]  4 Se 2.60-2.71
Sb: 0.0000 0.3671 0.0633 [8 per cell]  6 Se 2.85-3.07
Se: 0.0000 0.0000 0.0000 [4 per cell]  4 Sb 2.95
Se: 0.0000 0.2725 0.6008 [8 per cell]  1 Ag 2.71, 3 Sb 2.85-2.90
Se: 0.0000 0.4427 0.2500 [4 per cell]  2 Ag 2.60

Properties
Total moment in μB per formula unit: 0.0
Formation energy without anion corrections in eV/atom: -0.22
N(E_F) in states/eV per cell: 6.4
DFT total energy in eV per atom: -3.65

Question: Which of these has the highest DFT total energy?
Answer: number 4